# 1
Here is a relaxed structure of RbNaSm2Br8 from Alexandria via LeMat-Bulk. Energies are from PBE-GGA. Values from VASP.

Geometry as Quantum ESPRESSO input:
```
&SYSTEM
  ibrav = 0, nat = 12, ntyp = 4
/
ATOMIC_SPECIES
Rb 85.47 Rb.upf
Na 22.99 Na.upf
Sm 150.36 Sm.upf
Br 79.90 Br.upf
CELL_PARAMETERS angstrom
7.479 0.254 -0.007
0.382 7.125 -0.010
0.006 0.010 8.902
ATOMIC_POSITIONS crystal
Rb 0.000 0.000 0.500
Na 0.000 0.000 0.000
Sm 0.500 0.500 0.756
Sm 0.500 0.500 0.244
Br 0.182 0.740 0.224
Br 0.641 0.719 0.000
Br 0.818 0.260 0.224
Br 0.818 0.260 0.776
Br 0.359 0.281 0.000
Br 0.182 0.740 0.776
Br 0.630 0.711 0.500
Br 0.370 0.289 0.500
```

Summary:
- symmetry = P2/m, No. 10
- DOS at the Fermi energy (states/eV per cell) = 0.0
- energy relative to the elements, uncorrected (eV/atom) = -1.78
- DFT total energy (eV per atom) = -3.868


# 2
Here is a relaxed structure of MnGaOs from Alexandria via LeMat-Bulk. Energies are from PBE-GGA. Values from VASP.

Geometry as Quantum ESPRESSO input:
```
&SYSTEM
  ibrav = 0, nat = 3, ntyp = 3
/
ATOMIC_SPECIES
Mn 54.94 Mn.upf
Os 190.23 Os.upf
Ga 69.72 Ga.upf
CELL_PARAMETERS angstrom
-2.665 -0.332 -0.199
0.234 -3.329 2.414
-0.588 3.719 1.671
ATOMIC_POSITIONS crystal
Mn 0.501 0.667 0.333
Os 0.000 0.000 0.000
Ga 0.499 0.333 0.667
```

Summary:
- symmetry = P3m1, No. 156
- formation energy from the elements (eV per atom) = 0.17
- DOS at the Fermi energy (states/eV per cell) = 2.7
- DFT total energy (eV per atom) = -7.641


# 3
Here is a relaxed structure of TbCuPd4 from Alexandria via LeMat-Bulk. Energies are from PBE-GGA. Values from VASP.

Geometry as Quantum ESPRESSO input:
```
&SYSTEM
  ibrav = 0, nat = 12, ntyp = 3
/
ATOMIC_SPECIES
Tb 158.93 Tb.upf
Cu 63.55 Cu.upf
Pd 106.42 Pd.upf
CELL_PARAMETERS angstrom
4.540 0.000 0.000
0.000 5.016 0.000
-2.270 0.000 9.312
ATOMIC_POSITIONS crystal
Tb 0.865 0.740 0.730
Tb 0.135 0.240 0.270
Cu 0.595 0.921 0.189
Cu 0.405 0.421 0.811
Pd 0.960 0.243 0.920
Pd 0.040 0.743 0.080
Pd 0.460 0.917 0.920
Pd 0.540 0.417 0.080
Pd 0.684 0.557 0.367
Pd 0.316 0.057 0.633
Pd 0.732 0.055 0.465
Pd 0.268 0.555 0.535
```

Summary:
- symmetry = Cmc2_1, No. 36
- formation energy from the elements (eV per atom) = -0.39
- DOS at the Fermi energy (states/eV per cell) = 5.3
- E above lowest polymorph (eV per formula unit) = 0.29
- DFT total energy (eV per atom) = -5.310


# 4
Here is a relaxed structure of OsSe2Cl from Alexandria via LeMat-Bulk. Energies are from PBE-GGA. Values from VASP.

Geometry as Quantum ESPRESSO input:
```
&SYSTEM
  ibrav = 0, nat = 4, ntyp = 3
/
ATOMIC_SPECIES
Cl 35.45 Cl.upf
Os 190.23 Os.upf
Se 78.96 Se.upf
CELL_PARAMETERS angstrom
-2.124 3.337 -3.043
-1.910 -4.610 0.055
-2.021 0.866 2.360
ATOMIC_POSITIONS crystal
Cl 0.500 0.000 0.500
Os 0.000 0.500 0.500
Se 0.000 0.000 0.000
Se 0.500 0.500 0.000
```

Summary:
- symmetry = Cmmm, No. 65
- DOS at the Fermi energy (states/eV per cell) = 2.9
- E above lowest polymorph (eV per formula unit) = 3.99
- energy relative to the elements, uncorrected (eV/atom) = 0.99
- DFT total energy (eV per atom) = -4.022


# 5
Here is a relaxed structure of GaSbN3 from Alexandria via LeMat-Bulk. Energies are from PBE-GGA. Values from VASP.

Geometry as Quantum ESPRESSO input:
```
&SYSTEM
  ibrav = 0, nat = 5, ntyp = 3
/
ATOMIC_SPECIES
Sb 121.76 Sb.upf
Ga 69.72 Ga.upf
N 14.01 N.upf
CELL_PARAMETERS angstrom
-1.985 2.790 -2.136
1.097 -1.839 -3.421
-3.339 -2.263 0.146
ATOMIC_POSITIONS crystal
Sb 0.000 0.000 0.000
Ga 0.500 0.500 0.500
N 0.000 0.500 0.000
N 0.000 0.000 0.500
N 0.500 0.000 0.000
```

Summary:
- symmetry = Pm-3m, No. 221
- DOS at the Fermi energy (states/eV per cell) = 4.2
- energy relative to the elements, uncorrected (eV/atom) = 1.54
- DFT total energy (eV per atom) = -4.885


# 6
Here is a relaxed structure of MgZrI from Alexandria via LeMat-Bulk. Energies are from PBE-GGA. Values from VASP.

Geometry as Quantum ESPRESSO input:
```
&SYSTEM
  ibrav = 0, nat = 12, ntyp = 3
/
ATOMIC_SPECIES
Mg 24.30 Mg.upf
Zr 91.22 Zr.upf
I 126.90 I.upf
CELL_PARAMETERS angstrom
-4.896 12.481 8.066
0.615 -1.776 3.121
6.092 1.621 -0.277
ATOMIC_POSITIONS crystal
Mg 0.188 0.000 0.896
Mg 0.188 0.500 0.396
Mg 0.030 0.000 0.182
Mg 0.030 0.500 0.682
Zr 0.348 0.000 0.277
Zr 0.348 0.500 0.777
Zr 0.499 0.000 0.655
Zr 0.499 0.500 0.155
I 0.632 0.000 0.028
I 0.632 0.500 0.528
I 0.907 0.000 0.812
I 0.907 0.500 0.312
```

Summary:
- symmetry = Cm, No. 8
- DOS at the Fermi energy (states/eV per cell) = 2.8
- E above lowest polymorph (eV per formula unit) = 0.17
- energy relative to the elements, uncorrected (eV/atom) = -0.25
- DFT total energy (eV per atom) = -4.143